[1]
# CaScMn3 (PBE, relaxed)
# - Space-group type: Pm-3m (221)
# - E_tot: -6.238 eV per atom
# - Energy of formation: 89.8 kJ/mol of atoms
data_CaScMn3
_chemical_formula_sum 'Ca1 Sc1 Mn3'
_symmetry_space_group_name_H-M 'P 1'
_symmetry_Int_Tables_number 1
_cell_length_a 4.8750
_cell_length_b 4.8750
_cell_length_c 4.8750
_cell_angle_alpha 90.00
_cell_angle_beta 90.00
_cell_angle_gamma 90.00
loop_
_symmetry_equiv_pos_as_xyz
'x,y,z'
loop_
_atom_site_label
_atom_site_type_symbol
_atom_site_fract_x
_atom_site_fract_y
_atom_site_fract_z
Sc1 Sc 0.0000 0.0000 0.0000
Ca1 Ca 0.5000 0.5000 0.5000
Mn1 Mn 0.0000 0.5000 0.0000
Mn2 Mn 0.0000 0.0000 0.5000
Mn3 Mn 0.5000 0.0000 0.0000



[2]
# LiSO3 (PBE, relaxed)
# - Space-group type: P-1 (2)
# - E_tot: -5.632 eV per atom
data_LiSO3
_chemical_formula_sum 'Li2 S2 O6'
_symmetry_space_group_name_H-M 'P 1'
_symmetry_Int_Tables_number 1
_cell_length_a 3.4877
_cell_length_b 5.7882
_cell_length_c 8.4683
_cell_angle_alpha 107.10
_cell_angle_beta 48.46
_cell_angle_gamma 103.79
loop_
_symmetry_equiv_pos_as_xyz
'x,y,z'
loop_
_atom_site_label
_atom_site_type_symbol
_atom_site_fract_x
_atom_site_fract_y
_atom_site_fract_z
Li1 Li 0.7017 0.2730 0.8067
Li2 Li 0.2983 0.7270 0.1933
S1 S 0.2022 0.7996 0.6914
S2 S 0.7978 0.2004 0.3086
O1 O 0.7572 0.7432 0.5445
O2 O 0.2428 0.2568 0.4555
O3 O 0.8647 0.6429 0.8571
O4 O 0.1353 0.3571 0.1429
O5 O 0.1322 0.0630 0.7932
O6 O 0.8678 0.9370 0.2068



[3]
# Dy6Tm2Mg (PBE, relaxed)
# - Space-group type: P4_2/mnm (136)
# - E_tot: -4.214 eV per atom
# - Energy of formation: 2.4 kJ/mol of atoms
data_Dy6Tm2Mg
_chemical_formula_sum 'Dy12 Tm4 Mg2'
_symmetry_space_group_name_H-M 'P 1'
_symmetry_Int_Tables_number 1
_cell_length_a 4.9976
_cell_length_b 10.4518
_cell_length_c 10.4519
_cell_angle_alpha 90.00
_cell_angle_beta 90.00
_cell_angle_gamma 90.00
loop_
_symmetry_equiv_pos_as_xyz
'x,y,z'
loop_
_atom_site_label
_atom_site_type_symbol
_atom_site_fract_x
_atom_site_fract_y
_atom_site_fract_z
Dy1 Dy 0.0000 0.0005 0.1662
Dy2 Dy 0.0000 0.6662 0.5006
Dy3 Dy 0.0001 0.6651 0.8350
Dy4 Dy 0.4999 0.1651 0.6650
Dy5 Dy 0.5000 0.1662 0.9994
Dy6 Dy 0.5000 0.5005 0.3338
Dy7 Dy 0.0000 0.9995 0.8338
Dy8 Dy 0.0000 0.3338 0.4994
Dy9 Dy 0.9999 0.3349 0.1650
Dy10 Dy 0.5001 0.8349 0.3350
Dy11 Dy 0.5000 0.8338 0.0006
Dy12 Dy 0.5000 0.4995 0.6662
Tm1 Tm 0.0000 0.3321 0.8320
Tm2 Tm 0.5000 0.8321 0.6680
Tm3 Tm 0.5000 0.1679 0.3320
Tm4 Tm 0.0000 0.6679 0.1680
Mg1 Mg 0.5000 0.5000 0.0000
Mg2 Mg 0.0000 0.0000 0.5000



[4]
# TmMg2Hg8 (PBE, relaxed)
# - Space-group type: C2/m (12)
# - E_tot: -1.072 eV per atom
# - Energy of formation: -15.0 kJ/mol of atoms
data_TmMg2Hg8
_chemical_formula_sum 'Tm1 Mg2 Hg8'
_symmetry_space_group_name_H-M 'P 1'
_symmetry_Int_Tables_number 1
_cell_length_a 4.7412
_cell_length_b 7.1485
_cell_length_c 8.2260
_cell_angle_alpha 105.97
_cell_angle_beta 106.75
_cell_angle_gamma 90.00
loop_
_symmetry_equiv_pos_as_xyz
'x,y,z'
loop_
_atom_site_label
_atom_site_type_symbol
_atom_site_fract_x
_atom_site_fract_y
_atom_site_fract_z
Tm1 Tm 0.5000 0.0000 0.0000
Mg1 Mg 0.2335 0.6556 0.4670
Mg2 Mg 0.7665 0.3444 0.5330
Hg1 Hg 0.5957 0.4656 0.1915
Hg2 Hg 0.3159 0.0869 0.6317
Hg3 Hg 0.1414 0.2213 0.2828
Hg4 Hg 0.0531 0.7467 0.1063
Hg5 Hg 0.8586 0.7787 0.7172
Hg6 Hg 0.6841 0.9131 0.3683
Hg7 Hg 0.4043 0.5344 0.8085
Hg8 Hg 0.9469 0.2533 0.8937



[5]
# TlGa2Sn5 (PBE, relaxed)
# - Space-group type: Immm (71)
# - E_tot: -3.480 eV per atom
# - Energy of formation: 7.2 kJ/mol of atoms
data_TlGa2Sn5
_chemical_formula_sum 'Tl1 Ga2 Sn5'
_symmetry_space_group_name_H-M 'P 1'
_symmetry_Int_Tables_number 1
_cell_length_a 3.3218
_cell_length_b 8.4640
_cell_length_c 8.4640
_cell_angle_alpha 66.21
_cell_angle_beta 78.68
_cell_angle_gamma 78.68
loop_
_symmetry_equiv_pos_as_xyz
'x,y,z'
loop_
_atom_site_label
_atom_site_type_symbol
_atom_site_fract_x
_atom_site_fract_y
_atom_site_fract_z
Tl1 Tl 0.0000 0.0000 0.0000
Ga1 Ga 0.2428 0.2572 0.2572
Ga2 Ga 0.7572 0.7428 0.7428
Sn1 Sn 0.0000 0.5000 0.5000
Sn2 Sn 0.3642 0.4007 0.8708
Sn3 Sn 0.6358 0.5993 0.1292
Sn4 Sn 0.6358 0.1292 0.5993
Sn5 Sn 0.3642 0.8708 0.4007



[6]
# Pr2Y3Ge4 (PBE, relaxed)
# - Space-group type: P2_1/c (14)
# - E_tot: -6.157 eV per atom
# - Energy of formation: -85.7 kJ/mol of atoms
data_Pr2Y3Ge4
_chemical_formula_sum 'Pr4 Y6 Ge8'
_symmetry_space_group_name_H-M 'P 1'
_symmetry_Int_Tables_number 1
_cell_length_a 7.7007
_cell_length_b 7.9892
_cell_length_c 7.9431
_cell_angle_alpha 90.00
_cell_angle_beta 90.00
_cell_angle_gamma 110.50
loop_
_symmetry_equiv_pos_as_xyz
'x,y,z'
loop_
_atom_site_label
_atom_site_type_symbol
_atom_site_fract_x
_atom_site_fract_y
_atom_site_fract_z
Pr1 Pr 0.5686 0.1954 0.3198
Pr2 Pr 0.9314 0.8046 0.8198
Pr3 Pr 0.4314 0.8046 0.6802
Pr4 Pr 0.0686 0.1954 0.1802
Y1 Y 0.0000 0.5000 0.5000
Y2 Y 0.5000 0.5000 0.0000
Y3 Y 0.7401 0.2427 0.8334
Y4 Y 0.7599 0.7573 0.3334
Y5 Y 0.2599 0.7573 0.1666
Y6 Y 0.2401 0.2427 0.6666
Ge1 Ge 0.8416 0.0857 0.5393
Ge2 Ge 0.6584 0.9143 0.0393
Ge3 Ge 0.1584 0.9143 0.4607
Ge4 Ge 0.3416 0.0857 0.9607
Ge5 Ge 0.8688 0.4923 0.1300
Ge6 Ge 0.6312 0.5077 0.6300
Ge7 Ge 0.1312 0.5077 0.8700
Ge8 Ge 0.3688 0.4923 0.3700



[7]
# ThTlTe (PBE, relaxed)
# - Space-group type: P-3m1 (164)
# - E_tot: -4.883 eV per atom
data_ThTlTe
_chemical_formula_sum 'Th2 Tl2 Te2'
_symmetry_space_group_name_H-M 'P 1'
_symmetry_Int_Tables_number 1
_cell_length_a 4.6959
_cell_length_b 4.6959
_cell_length_c 11.5719
_cell_angle_alpha 90.00
_cell_angle_beta 90.00
_cell_angle_gamma 120.00
loop_
_symmetry_equiv_pos_as_xyz
'x,y,z'
loop_
_atom_site_label
_atom_site_type_symbol
_atom_site_fract_x
_atom_site_fract_y
_atom_site_fract_z
Th1 Th 0.0000 0.0000 0.8004
Th2 Th 0.0000 0.0000 0.1996
Tl1 Tl 0.3333 0.6667 0.9489
Tl2 Tl 0.6667 0.3333 0.0511
Te1 Te 0.6667 0.3333 0.6599
Te2 Te 0.3333 0.6667 0.3401



[8]
# Rb4Ho3PuSe8 (PBE, relaxed)
# - Space-group type: R-3m (166)
# - E_tot: -5.390 eV per atom
data_Rb4Ho3PuSe8
_chemical_formula_sum 'Rb4 Ho3 Pu1 Se8'
_symmetry_space_group_name_H-M 'P 1'
_symmetry_Int_Tables_number 1
_cell_length_a 8.5124
_cell_length_b 9.3754
_cell_length_c 8.5126
_cell_angle_alpha 117.02
_cell_angle_beta 120.00
_cell_angle_gamma 90.00
loop_
_symmetry_equiv_pos_as_xyz
'x,y,z'
loop_
_atom_site_label
_atom_site_type_symbol
_atom_site_fract_x
_atom_site_fract_y
_atom_site_fract_z
Rb1 Rb 0.5000 0.0000 0.0000
Rb2 Rb 0.5000 0.0000 0.5000
Rb3 Rb 0.0000 0.0000 0.0000
Rb4 Rb 0.0000 0.0000 0.5000
Ho1 Ho 0.5000 0.5000 0.0000
Ho2 Ho 0.5000 0.5000 0.5000
Ho3 Ho 0.0000 0.5000 0.5000
Pu1 Pu 0.0000 0.5000 0.0000
Se1 Se 0.2341 0.6946 0.9608
Se2 Se 0.2341 0.6947 0.4682
Se3 Se 0.2683 0.3053 0.5367
Se4 Se 0.7267 0.6946 0.9608
Se5 Se 0.2733 0.3054 0.0392
Se6 Se 0.7317 0.6947 0.4633
Se7 Se 0.7659 0.3053 0.5318
Se8 Se 0.7659 0.3054 0.0392



[9]
# ScTaN2 (PBE, relaxed)
# - Space-group type: R-3m (166)
# - E_tot: -9.633 eV per atom
data_ScTaN2
_chemical_formula_sum 'Sc1 Ta1 N2'
_symmetry_space_group_name_H-M 'P 1'
_symmetry_Int_Tables_number 1
_cell_length_a 6.4273
_cell_length_b 6.4273
_cell_length_c 6.4273
_cell_angle_alpha 29.31
_cell_angle_beta 29.31
_cell_angle_gamma 29.31
loop_
_symmetry_equiv_pos_as_xyz
'x,y,z'
loop_
_atom_site_label
_atom_site_type_symbol
_atom_site_fract_x
_atom_site_fract_y
_atom_site_fract_z
Sc1 Sc 0.0000 0.0000 0.0000
N1 N 0.8874 0.8874 0.8874
N2 N 0.1126 0.1126 0.1126
Ta1 Ta 0.5000 0.5000 0.5000



[10]
# Nd3Sn2Rh (PBE, relaxed)
# - Space-group type: Pnma (62)
# - E_tot: -5.727 eV per atom
# - Energy of formation: -75.6 kJ/mol of atoms
data_Nd3Sn2Rh
_chemical_formula_sum 'Nd12 Sn8 Rh4'
_symmetry_space_group_name_H-M 'P 1'
_symmetry_Int_Tables_number 1
_cell_length_a 4.4883
_cell_length_b 11.9920
_cell_length_c 12.7179
_cell_angle_alpha 90.00
_cell_angle_beta 90.00
_cell_angle_gamma 90.00
loop_
_symmetry_equiv_pos_as_xyz
'x,y,z'
loop_
_atom_site_label
_atom_site_type_symbol
_atom_site_fract_x
_atom_site_fract_y
_atom_site_fract_z
Nd1 Nd 0.2500 0.3711 0.0517
Nd2 Nd 0.7500 0.6289 0.9483
Nd3 Nd 0.7500 0.8711 0.4483
Nd4 Nd 0.2500 0.1289 0.5517
Nd5 Nd 0.2500 0.7072 0.2369
Nd6 Nd 0.7500 0.2928 0.7631
Nd7 Nd 0.7500 0.2072 0.2631
Nd8 Nd 0.2500 0.7928 0.7369
Nd9 Nd 0.2500 0.4525 0.3798
Nd10 Nd 0.7500 0.5475 0.6202
Nd11 Nd 0.7500 0.9525 0.1202
Nd12 Nd 0.2500 0.0475 0.8798
Sn1 Sn 0.2500 0.6909 0.4964
Sn2 Sn 0.7500 0.3091 0.5036
Sn3 Sn 0.7500 0.1909 0.0036
Sn4 Sn 0.2500 0.8091 0.9964
Sn5 Sn 0.2500 0.0004 0.3099
Sn6 Sn 0.7500 0.9996 0.6901
Sn7 Sn 0.7500 0.5004 0.1901
Sn8 Sn 0.2500 0.4996 0.8099
Rh1 Rh 0.2500 0.1325 0.1283
Rh2 Rh 0.7500 0.8675 0.8717
Rh3 Rh 0.7500 0.6325 0.3717
Rh4 Rh 0.2500 0.3675 0.6283



[11]
# Pm4HCN2 (PBE, relaxed)
# - Space-group type: I4/mmm (139)
# - E_tot: -6.853 eV per atom
data_Pm4HCN2
_chemical_formula_sum 'Pm4 H1 C1 N2'
_symmetry_space_group_name_H-M 'P 1'
_symmetry_Int_Tables_number 1
_cell_length_a 5.1567
_cell_length_b 5.1567
_cell_length_c 6.3223
_cell_angle_alpha 114.07
_cell_angle_beta 114.07
_cell_angle_gamma 90.00
loop_
_symmetry_equiv_pos_as_xyz
'x,y,z'
loop_
_atom_site_label
_atom_site_type_symbol
_atom_site_fract_x
_atom_site_fract_y
_atom_site_fract_z
Pm1 Pm 0.9371 0.4371 0.0000
Pm2 Pm 0.4371 0.9371 0.0000
Pm3 Pm 0.1768 0.1768 0.4793
Pm4 Pm 0.6975 0.6975 0.5207
H1 H 0.4374 0.4374 0.0000
C1 C 0.9372 0.9372 0.0000
N1 N 0.1871 0.6871 0.5000
N2 N 0.6871 0.1871 0.5000



[12]
# P2PdAuN (PBE, relaxed)
# - Space-group type: P4/mmm (123)
# - E_tot: -4.633 eV per atom
data_P2PdAuN
_chemical_formula_sum 'P2 Pd1 Au1 N1'
_symmetry_space_group_name_H-M 'P 1'
_symmetry_Int_Tables_number 1
_cell_length_a 4.0869
_cell_length_b 4.3817
_cell_length_c 4.0869
_cell_angle_alpha 90.00
_cell_angle_beta 90.00
_cell_angle_gamma 90.00
loop_
_symmetry_equiv_pos_as_xyz
'x,y,z'
loop_
_atom_site_label
_atom_site_type_symbol
_atom_site_fract_x
_atom_site_fract_y
_atom_site_fract_z
P1 P 0.0000 0.0000 0.5000
P2 P 0.5000 0.0000 0.0000
Au1 Au 0.0000 0.5000 0.0000
Pd1 Pd 0.5000 0.5000 0.5000
N1 N 0.0000 0.0000 0.0000